# 1
VASP calculation (PBE) on PmBeGa2Ru2 after structural relaxation.

Output
Energy in eV/cell: -35.81
ΔE_f in eV per atom: -0.4550

a = 4.311 Å, b = 4.311 Å, c = 5.465 Å
α = 90.00°, β = 90.00°, γ = 90.00°
Space group P4/mmm (No. 123)
One atom of each set of equivalent atoms:
Pm1 0.000 0.000 0.000 x1
Be1 0.000 0.000 0.500 x1
Ga1 0.500 0.500 0.240 x2
Ru1 0.000 0.500 0.500 x2



# 2
VASP calculation (PBE) on Pm3BeGa2Ru3 after structural relaxation.

Output
Energy in eV/cell: -54.60
ΔE_f in eV per atom: -0.3045

a = 7.1973 Å, b = 7.1973 Å, c = 3.8505 Å
α = 90.00°, β = 90.00°, γ = 120.00°
Space group P-62m (No. 189)
One atom of each set of equivalent atoms:
Pm1 0.0000 0.6290 0.0000 x3
Be1 0.0000 0.0000 0.0000 x1
Ga1 0.3333 0.6667 0.5000 x2
Ru1 0.0000 0.2300 0.5000 x3



# 3
VASP calculation (PBE) on PmSmBeGa after structural relaxation.

Output
Energy in eV/cell: -67.79
ΔE_f in eV per atom: -0.1812

a = 7.176 Å, b = 7.176 Å, c = 7.176 Å
α = 90.00°, β = 90.00°, γ = 90.00°
Space group F-43m (No. 216)
One atom of each set of equivalent atoms:
Pm1 0.000 0.000 0.000 x4
Sm1 0.000 0.000 0.500 x4
Be1 0.250 0.250 0.750 x4
Ga1 0.250 0.250 0.250 x4



# 4
VASP calculation (PBE) on PmTmBeGa after structural relaxation.

Output
Energy in eV/cell: -67.24
ΔE_f in eV per atom: -0.2084

a = 7.045 Å, b = 7.045 Å, c = 7.045 Å
α = 90.00°, β = 90.00°, γ = 90.00°
Space group F-43m (No. 216)
One atom of each set of equivalent atoms:
Pm1 0.000 0.000 0.000 x4
Tm1 0.000 0.000 0.500 x4
Be1 0.250 0.250 0.750 x4
Ga1 0.250 0.250 0.250 x4



# 5
VASP calculation (PBE) on PmYBeGa after structural relaxation.

Output
Energy in eV/cell: -75.36
ΔE_f in eV per atom: -0.2181

a = 7.107 Å, b = 7.107 Å, c = 7.107 Å
α = 90.00°, β = 90.00°, γ = 90.00°
Space group F-43m (No. 216)
One atom of each set of equivalent atoms:
Pm1 0.000 0.000 0.000 x4
Y1 0.000 0.000 0.500 x4
Be1 0.250 0.250 0.250 x4
Ga1 0.250 0.250 0.750 x4



# 6
VASP calculation (PBE) on Pm2BeZn3Ga4 after structural relaxation.

Output
Energy in eV/cell: -33.44
ΔE_f in eV per atom: -0.4279

a = 4.183 Å, b = 4.183 Å, c = 10.482 Å
α = 90.00°, β = 90.00°, γ = 90.00°
Space group P-4m2 (No. 115)
One atom of each set of equivalent atoms:
Pm1 0.000 0.500 0.241 x2
Be1 0.500 0.500 0.000 x1
Zn1 0.000 0.000 0.000 x1
Zn2 0.000 0.500 0.642 x2
Ga1 0.000 0.000 0.500 x1
Ga2 0.000 0.500 0.874 x2
Ga3 0.500 0.500 0.500 x1